{"formula": "SmY2Er", "functional": "PBE", "state": "optimized geometry", "spacegroup": "No. 225", "final_energy_ev_per_atom": -5.4202, "formation_enthalpy_0k_ev_per_atom": 0.132, "relative_energy_mev_per_atom": 124, "cell": [[0.000, 4.027, 4.027], [4.027, 0.000, 4.027], [4.027, 4.027, 0.000]], "species": ["Sm", "Y", "Y", "Er"], "frac_coords": [[0.000, 0.000, 0.000], [0.250, 0.250, 0.250], [0.750, 0.750, 0.750], [0.500, 0.500, 0.500]]}

***

{"formula": "MgZrRh2", "functional": "PBE", "state": "optimized geometry", "spacegroup": "No. 99", "final_energy_ev_per_atom": -6.6587, "formation_enthalpy_0k_ev_per_atom": -0.447, "cell": [[3.548, 0.000, 0.000], [0.000, 3.548, 0.000], [0.000, 0.000, 5.521]], "species": ["Mg", "Zr", "Rh", "Rh"], "frac_coords": [[0.000, 0.000, 0.000], [0.500, 0.500, 0.673], [0.000, 0.000, 0.485], [0.500, 0.500, 0.159]]}

***

{"formula": "CaPRhS2", "functional": "PBE", "state": "optimized geometry", "e_form_raw_kj_per_mol_atoms": -42.3, "spacegroup": "No. 123", "final_energy_ev_per_atom": -5.0424, "relative_energy_mev_per_atom": 0, "cell": [[4.978, 0.000, 0.000], [0.000, 4.978, 0.000], [0.000, 0.000, 4.296]], "species": ["Ca", "P", "Rh", "S", "S"], "frac_coords": [[0.000, 0.000, 0.000], [0.500, 0.500, 0.000], [0.500, 0.500, 0.500], [0.000, 0.500, 0.500], [0.500, 0.000, 0.500]]}

***

{"formula": "Li2SnHg8", "functional": "PBE", "state": "optimized geometry", "spacegroup": "No. 12", "final_energy_ev_per_atom": -1.0422, "formation_enthalpy_0k_ev_per_atom": -0.111, "cell": [[7.341, -2.483, 0.000], [7.341, 2.483, 0.000], [-4.857, 0.000, 7.275]], "species": ["Li", "Li", "Sn", "Hg", "Hg", "Hg", "Hg", "Hg", "Hg", "Hg", "Hg"], "frac_coords": [[0.227, 0.227, 0.202], [0.773, 0.773, 0.798], [0.500, 0.500, 0.500], [0.030, 0.030, 0.197], [0.141, 0.141, 0.700], [0.323, 0.323, 0.611], [0.371, 0.371, 0.046], [0.629, 0.629, 0.954], [0.677, 0.677, 0.389], [0.859, 0.859, 0.300], [0.970, 0.970, 0.803]]}

***

{"formula": "Li2CaNd2In2", "functional": "PBE", "state": "optimized geometry", "spacegroup": "No. 166", "final_energy_ev_per_atom": -3.2123, "formation_enthalpy_0k_ev_per_atom": -0.235, "cell": [[2.472, 1.427, 9.207], [-2.472, 1.427, 9.207], [0.000, -2.855, 9.207]], "species": ["Li", "Li", "Ca", "Nd", "Nd", "In", "In"], "frac_coords": [[0.107, 0.107, 0.107], [0.893, 0.893, 0.893], [0.500, 0.500, 0.500], [0.372, 0.372, 0.372], [0.628, 0.628, 0.628], [0.240, 0.240, 0.240], [0.760, 0.760, 0.760]]}

***

{"formula": "ZrMnNiIr", "functional": "PBE", "state": "optimized geometry", "spacegroup": "No. 216", "final_energy_ev_per_atom": -8.4613, "formation_enthalpy_0k_ev_per_atom": -0.371, "cell": [[0.000, 3.151, 3.151], [3.151, 0.000, 3.151], [3.151, 3.151, 0.000]], "species": ["Zr", "Mn", "Ni", "Ir"], "frac_coords": [[0.000, 0.000, 0.000], [0.500, 0.500, 0.500], [0.250, 0.250, 0.250], [0.750, 0.750, 0.750]]}

***

{"formula": "RbTaPCl2", "functional": "PBE", "state": "optimized geometry", "e_form_raw_kj_per_mol_atoms": -75.2, "spacegroup": "No. 123", "final_energy_ev_per_atom": -5.1636, "relative_energy_mev_per_atom": 0, "cell": [[5.066, 0.000, 0.000], [0.000, 5.066, 0.000], [0.000, 0.000, 4.857]], "species": ["Rb", "Ta", "P", "Cl", "Cl"], "frac_coords": [[0.000, 0.000, 0.000], [0.500, 0.500, 0.500], [0.500, 0.500, 0.000], [0.000, 0.500, 0.500], [0.500, 0.000, 0.500]]}

***

{"formula": "ZrPAu2", "functional": "PBE", "state": "optimized geometry", "spacegroup": "No. 166", "final_energy_ev_per_atom": -5.0796, "formation_enthalpy_0k_ev_per_atom": 0.049, "cell": [[1.561, 0.901, 8.852], [-1.561, 0.901, 8.852], [0.000, -1.802, 8.852]], "species": ["Zr", "P", "Au", "Au"], "frac_coords": [[0.000, 0.000, 0.000], [0.500, 0.500, 0.500], [0.243, 0.243, 0.243], [0.757, 0.757, 0.757]]}

***

Copy entry 8 word for word.
{"formula": "ZrPAu2", "functional": "PBE", "state": "optimized geometry", "spacegroup": "No. 166", "final_energy_ev_per_atom": -5.0796, "formation_enthalpy_0k_ev_per_atom": 0.049, "cell": [[1.561, 0.901, 8.852], [-1.561, 0.901, 8.852], [0.000, -1.802, 8.852]], "species": ["Zr", "P", "Au", "Au"], "frac_coords": [[0.000, 0.000, 0.000], [0.500, 0.500, 0.500], [0.243, 0.243, 0.243], [0.757, 0.757, 0.757]]}